[1]
A crystal of RbTa2ZnGa relaxed with PBEsol. Source: Alexandria via LeMat-Bulk, functional SCAN.

## Properties
The formation energy is 1.7170 eV per atom. The space-group type is No. 123. Its theoretical density is 7.0 g/cm³.

Unit cell a=4.860 b=4.860 c=5.865 alpha=90.00 beta=90.00 gamma=90.00
Fractional coordinates of all 5 atoms:
1 Rb 0.000 0.000 0.000
2 Ta 0.000 0.500 0.500
3 Ta 0.500 0.000 0.500
4 Zn 0.500 0.500 0.000
5 Ga 0.000 0.000 0.500

---

[2]
A crystal of Hf2ReI relaxed with PBEsol. Source: Alexandria via LeMat-Bulk, functional SCAN.

## Properties
Its raw formation energy is 0.4708 eV per atom. The space-group type is No. 225. Its theoretical density is 14.2 g/cm³.

Unit cell a=6.791 b=6.791 c=6.791 alpha=90.00 beta=90.00 gamma=90.00
Fractional coordinates of all 16 atoms:
1 Hf 0.250 0.250 0.250
2 Hf 0.250 0.250 0.750
3 Hf 0.250 0.750 0.250
4 Hf 0.250 0.750 0.750
5 Hf 0.750 0.250 0.250
6 Hf 0.750 0.250 0.750
7 Hf 0.750 0.750 0.250
8 Hf 0.750 0.750 0.750
9 Re 0.000 0.000 0.000
10 Re 0.000 0.500 0.500
11 Re 0.500 0.000 0.500
12 Re 0.500 0.500 0.000
13 I 0.000 0.000 0.500
14 I 0.000 0.500 0.000
15 I 0.500 0.000 0.000
16 I 0.500 0.500 0.500

---

[3]
A crystal of LaNbTeO6 relaxed with PBEsol. Source: Alexandria via LeMat-Bulk, functional SCAN.

## Properties
Its raw formation energy is -2.6214 eV per atom. The space-group type is No. 2. Its theoretical density is 5.9 g/cm³.

Unit cell a=6.732 b=7.426 c=10.734 alpha=79.57 beta=77.08 gamma=89.93
Fractional coordinates of all 36 atoms:
1 La 0.169 0.215 0.157
2 La 0.261 0.361 0.495
3 La 0.739 0.639 0.505
4 La 0.831 0.785 0.843
5 Nb 0.316 0.046 0.802
6 Nb 0.325 0.540 0.800
7 Nb 0.675 0.460 0.200
8 Nb 0.684 0.954 0.198
9 Te 0.178 0.703 0.200
10 Te 0.238 0.873 0.494
11 Te 0.762 0.127 0.506
12 Te 0.822 0.297 0.800
13 O 0.001 0.101 0.791
14 O 0.005 0.482 0.817
15 O 0.036 0.174 0.405
16 O 0.109 0.633 0.386
17 O 0.213 0.786 0.819
18 O 0.258 0.067 0.972
19 O 0.317 0.443 0.967
20 O 0.323 0.046 0.589
21 O 0.350 0.650 0.574
22 O 0.360 0.316 0.717
23 O 0.389 0.391 0.258
24 O 0.403 0.993 0.224
25 O 0.597 0.007 0.776
26 O 0.611 0.609 0.742
27 O 0.640 0.684 0.283
28 O 0.650 0.350 0.426
29 O 0.677 0.954 0.411
30 O 0.683 0.557 0.033
31 O 0.742 0.933 0.028
32 O 0.787 0.214 0.181
33 O 0.891 0.367 0.614
34 O 0.964 0.826 0.595
35 O 0.995 0.518 0.183
36 O 0.999 0.899 0.209

---

[4]
A crystal of Si2OsCl relaxed with PBEsol. Source: Alexandria via LeMat-Bulk, functional SCAN.

## Properties
The value obtained for the energy above the most stable polymorph in this dataset is 240 meV per atom. Its raw formation energy is 0.3975 eV per atom. The space-group type is No. 12. Its theoretical density is 7.6 g/cm³.

Unit cell a=7.136 b=6.781 c=2.751 alpha=90.00 beta=112.16 gamma=90.00
Fractional coordinates of all 8 atoms:
1 Si 0.250 0.250 0.000
2 Si 0.250 0.750 0.000
3 Si 0.750 0.250 0.000
4 Si 0.750 0.750 0.000
5 Os 0.000 0.000 0.500
6 Os 0.500 0.500 0.500
7 Cl 0.000 0.500 0.500
8 Cl 0.500 0.000 0.500